This record from Alexandria describes a geometry-optimized Ac2PbAu8 structure. The functional is PBE.

a b c (Å): 8.787 8.787 5.487
angles (deg): 105.83 105.83 127.13
Atoms (fractional coordinates):
1 Ac 0.184 0.816 0.000
2 Ac 0.816 0.184 0.000
3 Pb 0.500 0.500 0.500
4 Au 0.030 0.030 0.776
5 Au 0.153 0.406 0.734
6 Au 0.296 0.704 0.500
7 Au 0.406 0.153 0.734
8 Au 0.594 0.847 0.266
9 Au 0.704 0.296 0.500
10 Au 0.847 0.594 0.266
11 Au 0.970 0.970 0.224

Output
E_tot = -43.37 eV per cell
Space-group type = No. 12
ΔE_f = -46 kJ per mole of atoms

***

This record from Alexandria describes a geometry-optimized AcPb3Au4 structure. The functional is PBE.

a b c (Å): 9.297 9.297 9.297
angles (deg): 32.39 32.39 32.39
Atoms (fractional coordinates):
1 Ac 0.000 0.000 0.000
2 Pb 0.246 0.246 0.246
3 Pb 0.500 0.500 0.500
4 Pb 0.754 0.754 0.754
5 Au 0.124 0.124 0.124
6 Au 0.380 0.380 0.380
7 Au 0.620 0.620 0.620
8 Au 0.876 0.876 0.876

Output
E_tot = -30.75 eV per cell
Space-group type = No. 166
ΔE_f = -29 kJ per mole of atoms

***

This record from Alexandria describes a geometry-optimized Ac3Pb3Au structure. The functional is PBE.

a b c (Å): 6.665 6.665 16.527
angles (deg): 108.51 108.51 43.45
Atoms (fractional coordinates):
1 Ac 0.031 0.031 0.383
2 Ac 0.098 0.098 0.923
3 Ac 0.240 0.240 0.235
4 Ac 0.760 0.760 0.765
5 Ac 0.902 0.902 0.077
6 Ac 0.969 0.969 0.617
7 Pb 0.354 0.354 0.463
8 Pb 0.372 0.372 0.923
9 Pb 0.479 0.479 0.767
10 Pb 0.521 0.521 0.233
11 Pb 0.628 0.628 0.077
12 Pb 0.646 0.646 0.537
13 Au 0.258 0.258 0.620
14 Au 0.742 0.742 0.380

Output
E_tot = -61.44 eV per cell
Space-group type = No. 12
ΔE_f = -55 kJ per mole of atoms

***

This record from Alexandria describes a geometry-optimized AcPbAu6 structure. The functional is PBE.

a b c (Å): 5.699 5.699 5.699
angles (deg): 90.00 90.00 90.00
Atoms (fractional coordinates):
1 Ac 0.000 0.000 0.000
2 Pb 0.500 0.500 0.500
3 Au 0.000 0.253 0.500
4 Au 0.000 0.747 0.500
5 Au 0.253 0.500 0.000
6 Au 0.500 0.000 0.253
7 Au 0.500 0.000 0.747
8 Au 0.747 0.500 0.000

Output
E_tot = -29.58 eV per cell
Space-group type = No. 200
ΔE_f = -25 kJ per mole of atoms

***

This record from Alexandria describes a geometry-optimized Ac2PbAu structure. The functional is PBE.

a b c (Å): 3.967 3.967 8.320
angles (deg): 90.00 90.00 90.00
Atoms (fractional coordinates):
1 Ac 0.000 0.000 0.230
2 Ac 0.000 0.000 0.770
3 Pb 0.500 0.500 0.500
4 Au 0.500 0.500 0.000

Output
E_tot = -17.68 eV per cell
Space-group type = No. 123
ΔE_f = -60 kJ per mole of atoms

***

This record from Alexandria describes a geometry-optimized AcPbAu2 structure. The functional is PBE.

a b c (Å): 5.091 5.091 4.157
angles (deg): 90.00 90.00 90.00
Atoms (fractional coordinates):
1 Ac 0.000 0.000 0.000
2 Pb 0.500 0.500 0.000
3 Au 0.000 0.500 0.500
4 Au 0.500 0.000 0.500

Output
E_tot = -16.40 eV per cell
Space-group type = No. 123
ΔE_f = -49 kJ per mole of atoms

***

This record from Alexandria describes a geometry-optimized AcPbAu2 structure. The functional is PBE.

a b c (Å): 5.311 5.311 5.311
angles (deg): 60.00 60.00 60.00
Atoms (fractional coordinates):
1 Ac 0.000 0.000 0.000
2 Pb 0.500 0.500 0.500
3 Au 0.250 0.250 0.250
4 Au 0.750 0.750 0.750

Output
E_tot = -16.88 eV per cell
Space-group type = No. 225
ΔE_f = -61 kJ per mole of atoms

***

This record from Alexandria describes a geometry-optimized AcPb3Au2 structure. The functional is PBE.

a b c (Å): 9.281 9.281 9.189
angles (deg): 114.39 114.39 29.00
Atoms (fractional coordinates):
1 Ac 0.120 0.120 0.055
2 Ac 0.880 0.880 0.945
3 Pb 0.053 0.053 0.397
4 Pb 0.297 0.297 0.613
5 Pb 0.374 0.374 0.289
6 Pb 0.626 0.626 0.711
7 Pb 0.703 0.703 0.387
8 Pb 0.947 0.947 0.603
9 Au 0.246 0.246 0.892
10 Au 0.491 0.491 0.837
11 Au 0.509 0.509 0.163
12 Au 0.754 0.754 0.108

Output
E_tot = -47.94 eV per cell
Space-group type = No. 12
ΔE_f = -35 kJ per mole of atoms